Entry 1:
4
Lattice="-1.9401 -4.4958 -1.6822 1.3116 -4.4251 2.3461 -3.4857 -2.5465 2.8585" Properties=species:S:1:pos:R:3 comment="Pm2SbH PBE relaxed" density_g_cm3=6.98 spacegroup=Fm-3m total_energy_ev_per_atom=-4.6906 dos_ef_per_ev_atom=0.68 pbc="T T T"
Pm -1.0286 -2.8669 0.8806
Pm -3.0857 -8.6006 2.6418
Sb 0.0000 0.0000 0.0000
H -2.0571 -5.7337 1.7612

***

Entry 2:
8
Lattice="6.2757 -0.2424 0.5508 -3.3015 5.3426 -0.5508 -2.2327 -2.1153 5.5034" Properties=species:S:1:pos:R:3 comment="Na3GaAg4 PBE relaxed" e_form_ev_per_atom=0.00 density_g_cm3=5.18 spacegroup=Imm2 total_energy_ev_per_atom=-2.2998 dos_ef_per_ev_atom=0.26 pbc="T T T"
Ag -3.9230 2.2877 4.9440
Ag -2.4681 3.1118 1.8341
Ag 2.3519 0.3732 2.3849
Ag -0.4129 0.2408 1.8029
Na 3.2485 -1.8944 4.8645
Na 0.5902 3.0731 1.2166
Na 0.4974 -0.2901 4.8050
Ga -2.0488 1.1948 3.5519